1.
{
  "formula": "CsMo2P3O13",
  "functional": "GGA+U",
  "state": "relaxed",
  "de_polymorph_kj_per_mol_atoms": 0.0,
  "space_group": "P2_1 (4)",
  "lattice_angstrom": [[6.500, 0.000, 0.000], [0.000, 20.143, 0.000], [-2.900, 0.000, 9.561]],
  "species": ["Cs", "Cs", "Cs", "Cs", "Mo", "Mo", "Mo", "Mo", "Mo", "Mo", "Mo", "Mo", "P", "P", "P", "P", "P", "P", "P", "P", "P", "P", "P", "P", "O", "O", "O", "O", "O", "O", "O", "O", "O", "O", "O", "O", "O", "O", "O", "O", "O", "O", "O", "O", "O", "O", "O", "O", "O", "O", "O", "O", "O", "O", "O", "O", "O", "O", "O", "O", "O", "O", "O", "O", "O", "O", "O", "O", "O", "O", "O", "O", "O", "O", "O", "O"],
  "fractional_positions": [[0.216, 0.000, 0.125], [0.229, 0.821, 0.504], [0.771, 0.321, 0.496], [0.784, 0.500, 0.875], [0.062, 0.205, 0.890], [0.144, 0.491, 0.572], [0.359, 0.163, 0.447], [0.441, 0.443, 0.131], [0.559, 0.943, 0.869], [0.641, 0.663, 0.553], [0.856, 0.991, 0.428], [0.938, 0.705, 0.110], [0.009, 0.912, 0.777], [0.097, 0.647, 0.457], [0.242, 0.291, 0.212], [0.262, 0.358, 0.805], [0.400, 0.003, 0.530], [0.484, 0.737, 0.202], [0.516, 0.237, 0.798], [0.600, 0.503, 0.470], [0.738, 0.858, 0.195], [0.758, 0.791, 0.788], [0.903, 0.147, 0.543], [0.991, 0.412, 0.223], [0.033, 0.333, 0.222], [0.044, 0.433, 0.375], [0.048, 0.682, 0.315], [0.057, 0.174, 0.465], [0.068, 0.125, 0.950], [0.081, 0.571, 0.437], [0.090, 0.309, 0.819], [0.124, 0.446, 0.138], [0.162, 0.244, 0.091], [0.174, 0.982, 0.437], [0.185, 0.396, 0.666], [0.211, 0.534, 0.725], [0.246, 0.732, 0.119], [0.247, 0.919, 0.861], [0.283, 0.120, 0.293], [0.324, 0.256, 0.353], [0.324, 0.669, 0.545], [0.341, 0.406, 0.927], [0.377, 0.204, 0.880], [0.409, 0.341, 0.194], [0.414, 0.077, 0.569], [0.440, 0.522, 0.073], [0.450, 0.483, 0.559], [0.455, 0.960, 0.662], [0.465, 0.216, 0.646], [0.471, 0.317, 0.795], [0.529, 0.817, 0.205], [0.535, 0.716, 0.354], [0.545, 0.460, 0.338], [0.550, 0.983, 0.441], [0.560, 0.022, 0.927], [0.586, 0.577, 0.431], [0.591, 0.841, 0.806], [0.623, 0.704, 0.120], [0.659, 0.906, 0.073], [0.676, 0.169, 0.455], [0.676, 0.756, 0.647], [0.717, 0.620, 0.707], [0.753, 0.419, 0.139], [0.754, 0.232, 0.881], [0.789, 0.034, 0.275], [0.815, 0.896, 0.334], [0.826, 0.482, 0.563], [0.838, 0.744, 0.909], [0.876, 0.946, 0.862], [0.910, 0.809, 0.181], [0.919, 0.071, 0.563], [0.932, 0.625, 0.050], [0.943, 0.674, 0.535], [0.952, 0.182, 0.685], [0.956, 0.933, 0.625], [0.967, 0.833, 0.778]]
}


2.
{
  "formula": "Cs3Mo6P10O38",
  "functional": "GGA+U",
  "state": "relaxed",
  "final_energy_ev_per_atom": -7.1678,
  "space_group": "P-1 (2)",
  "lattice_angstrom": [[6.558, 0.000, 0.000], [2.693, 9.348, 0.000], [0.342, -0.051, 14.592]],
  "species": ["Cs", "Cs", "Cs", "Mo", "Mo", "Mo", "Mo", "Mo", "Mo", "P", "P", "P", "P", "P", "P", "P", "P", "P", "P", "O", "O", "O", "O", "O", "O", "O", "O", "O", "O", "O", "O", "O", "O", "O", "O", "O", "O", "O", "O", "O", "O", "O", "O", "O", "O", "O", "O", "O", "O", "O", "O", "O", "O", "O", "O", "O", "O"],
  "fractional_positions": [[0.000, 0.000, 0.000], [0.039, 0.626, 0.715], [0.961, 0.374, 0.285], [0.267, 0.662, 0.387], [0.281, 0.635, 0.135], [0.382, 0.960, 0.749], [0.618, 0.040, 0.251], [0.719, 0.365, 0.865], [0.733, 0.338, 0.613], [0.154, 0.953, 0.254], [0.263, 0.278, 0.890], [0.284, 0.241, 0.592], [0.488, 0.283, 0.062], [0.494, 0.296, 0.427], [0.506, 0.704, 0.573], [0.512, 0.717, 0.938], [0.716, 0.759, 0.408], [0.737, 0.722, 0.110], [0.846, 0.047, 0.746], [0.027, 0.361, 0.897], [0.053, 0.330, 0.589], [0.073, 0.945, 0.753], [0.177, 0.869, 0.345], [0.205, 0.854, 0.169], [0.256, 0.600, 0.263], [0.297, 0.142, 0.835], [0.297, 0.713, 0.523], [0.298, 0.054, 0.253], [0.322, 0.093, 0.635], [0.332, 0.688, 0.998], [0.336, 0.226, 0.993], [0.347, 0.413, 0.110], [0.348, 0.449, 0.425], [0.365, 0.205, 0.486], [0.394, 0.379, 0.858], [0.413, 0.336, 0.632], [0.424, 0.842, 0.874], [0.465, 0.770, 0.668], [0.535, 0.230, 0.332], [0.576, 0.158, 0.126], [0.587, 0.664, 0.368], [0.606, 0.621, 0.142], [0.635, 0.795, 0.514], [0.652, 0.551, 0.575], [0.653, 0.587, 0.890], [0.664, 0.774, 0.007], [0.668, 0.312, 0.002], [0.678, 0.907, 0.365], [0.702, 0.946, 0.747], [0.703, 0.287, 0.477], [0.703, 0.858, 0.165], [0.744, 0.400, 0.737], [0.795, 0.146, 0.831], [0.823, 0.131, 0.655], [0.927, 0.055, 0.247], [0.947, 0.670, 0.411], [0.973, 0.639, 0.103]]
}


3.
{
  "formula": "CsMoPO2",
  "functional": "GGA+U",
  "state": "relaxed",
  "final_energy_ev_per_atom": -3.6386,
  "space_group": "P4/mmm (123)",
  "lattice_angstrom": [[4.174, 0.000, 0.000], [0.000, 4.174, 0.000], [0.000, 0.000, 7.229]],
  "species": ["Cs", "Mo", "P", "O", "O"],
  "fractional_positions": [[0.000, 0.000, 0.000], [0.500, 0.500, 0.500], [0.000, 0.000, 0.500], [0.000, 0.500, 0.000], [0.500, 0.000, 0.000]]
}


4.
{
  "formula": "CsMoP2O8",
  "functional": "GGA+U",
  "state": "relaxed",
  "final_energy_ev_per_atom": -6.9333,
  "space_group": "P-3 (147)",
  "lattice_angstrom": [[5.100, 0.000, 0.000], [-2.550, 4.417, 0.000], [0.000, 0.000, 9.217]],
  "species": ["Cs", "Mo", "P", "P", "O", "O", "O", "O", "O", "O", "O", "O"],
  "fractional_positions": [[0.000, 0.000, 0.000], [0.000, 0.000, 0.500], [0.333, 0.667, 0.690], [0.667, 0.333, 0.310], [0.095, 0.352, 0.626], [0.257, 0.905, 0.626], [0.333, 0.667, 0.853], [0.352, 0.257, 0.374], [0.648, 0.743, 0.626], [0.667, 0.333, 0.147], [0.743, 0.095, 0.374], [0.905, 0.648, 0.374]]
}


5.
{
  "formula": "CsMo2P3O13",
  "functional": "GGA+U",
  "state": "relaxed",
  "de_polymorph_kj_per_mol_atoms": 0.3,
  "space_group": "P2/c (13)",
  "lattice_angstrom": [[7.979, 0.000, 0.000], [0.000, 8.632, 0.000], [-1.569, 0.000, 9.024]],
  "species": ["Cs", "Cs", "Mo", "Mo", "Mo", "Mo", "P", "P", "P", "P", "P", "P", "O", "O", "O", "O", "O", "O", "O", "O", "O", "O", "O", "O", "O", "O", "O", "O", "O", "O", "O", "O", "O", "O", "O", "O", "O", "O"],
  "fractional_positions": [[0.000, 0.175, 0.250], [0.000, 0.825, 0.750], [0.296, 0.236, 0.936], [0.296, 0.764, 0.436], [0.704, 0.236, 0.564], [0.704, 0.764, 0.064], [0.355, 0.439, 0.640], [0.355, 0.561, 0.140], [0.500, 0.045, 0.250], [0.500, 0.955, 0.750], [0.645, 0.439, 0.860], [0.645, 0.561, 0.360], [0.093, 0.165, 0.922], [0.093, 0.835, 0.422], [0.246, 0.356, 0.737], [0.246, 0.644, 0.237], [0.248, 0.439, 0.045], [0.248, 0.561, 0.545], [0.379, 0.149, 0.142], [0.379, 0.851, 0.642], [0.387, 0.052, 0.835], [0.387, 0.948, 0.335], [0.448, 0.328, 0.551], [0.448, 0.672, 0.051], [0.500, 0.466, 0.250], [0.500, 0.534, 0.750], [0.552, 0.328, 0.949], [0.552, 0.672, 0.449], [0.613, 0.052, 0.665], [0.613, 0.948, 0.165], [0.621, 0.149, 0.358], [0.621, 0.851, 0.858], [0.752, 0.439, 0.455], [0.752, 0.561, 0.955], [0.754, 0.356, 0.763], [0.754, 0.644, 0.263], [0.907, 0.165, 0.578], [0.907, 0.835, 0.078]]
}


6.
{
  "formula": "Cs3Rb5Mo12P12O68",
  "functional": "GGA+U",
  "state": "relaxed",
  "final_energy_ev_per_atom": -6.9296,
  "space_group": "P1 (1)",
  "lattice_angstrom": [[9.727, 0.000, 0.000], [0.019, 11.049, 0.000], [0.020, 5.225, 14.870]],
  "species": ["Cs", "Cs", "Cs", "Rb", "Rb", "Rb", "Rb", "Rb", "Mo", "Mo", "Mo", "Mo", "Mo", "Mo", "Mo", "Mo", "Mo", "Mo", "Mo", "Mo", "P", "P", "P", "P", "P", "P", "P", "P", "P", "P", "P", "P", "O", "O", "O", "O", "O", "O", "O", "O", "O", "O", "O", "O", "O", "O", "O", "O", "O", "O", "O", "O", "O", "O", "O", "O", "O", "O", "O", "O", "O", "O", "O", "O", "O", "O", "O", "O", "O", "O", "O", "O", "O", "O", "O", "O", "O", "O", "O", "O", "O", "O", "O", "O", "O", "O", "O", "O", "O", "O", "O", "O", "O", "O", "O", "O", "O", "O", "O", "O"],
  "fractional_positions": [[0.000, 0.000, 0.000], [0.210, 0.364, 0.030], [0.497, 0.862, 0.529], [0.234, 0.779, 0.803], [0.476, 0.281, 0.304], [0.734, 0.085, 0.726], [0.739, 0.510, 0.509], [0.974, 0.584, 0.227], [0.223, 0.984, 0.259], [0.225, 0.497, 0.452], [0.345, 0.160, 0.613], [0.364, 0.660, 0.113], [0.485, 0.997, 0.952], [0.487, 0.485, 0.757], [0.722, 0.879, 0.271], [0.724, 0.367, 0.077], [0.846, 0.703, 0.917], [0.862, 0.204, 0.417], [0.984, 0.867, 0.577], [0.986, 0.380, 0.771], [0.005, 0.761, 0.393], [0.008, 0.282, 0.584], [0.199, 0.082, 0.445], [0.204, 0.603, 0.636], [0.282, 0.223, 0.812], [0.429, 0.722, 0.313], [0.505, 0.102, 0.136], [0.509, 0.582, 0.945], [0.701, 0.782, 0.084], [0.704, 0.261, 0.893], [0.781, 0.642, 0.717], [0.928, 0.141, 0.217], [0.020, 0.668, 0.936], [0.029, 0.435, 0.857], [0.047, 0.416, 0.514], [0.075, 0.172, 0.418], [0.076, 0.891, 0.348], [0.087, 0.138, 0.216], [0.096, 0.649, 0.386], [0.113, 0.715, 0.643], [0.122, 0.226, 0.813], [0.132, 0.192, 0.611], [0.132, 0.473, 0.682], [0.160, 0.948, 0.515], [0.179, 0.928, 0.173], [0.190, 0.695, 0.094], [0.213, 0.440, 0.362], [0.243, 0.615, 0.540], [0.273, 0.063, 0.364], [0.312, 0.144, 0.489], [0.317, 0.106, 0.897], [0.319, 0.372, 0.531], [0.337, 0.612, 0.690], [0.340, 0.201, 0.727], [0.343, 0.346, 0.821], [0.343, 0.994, 0.664], [0.365, 0.495, 0.165], [0.367, 0.845, 0.322], [0.371, 0.702, 0.227], [0.372, 0.111, 0.191], [0.390, 0.873, 0.031], [0.392, 0.605, 0.397], [0.396, 0.643, 0.989], [0.436, 0.563, 0.864], [0.466, 0.114, 0.040], [0.497, 0.941, 0.862], [0.519, 0.193, 0.594], [0.534, 0.433, 0.670], [0.548, 0.448, 0.015], [0.577, 0.692, 0.111], [0.577, 0.972, 0.182], [0.588, 0.725, 0.314], [0.595, 0.214, 0.143], [0.613, 0.149, 0.886], [0.622, 0.640, 0.717], [0.633, 0.391, 0.846], [0.633, 0.671, 0.918], [0.661, 0.916, 0.014], [0.679, 0.935, 0.357], [0.689, 0.167, 0.436], [0.712, 0.423, 0.167], [0.743, 0.249, 0.989], [0.773, 0.801, 0.165], [0.814, 0.720, 0.040], [0.817, 0.758, 0.632], [0.819, 0.491, 0.999], [0.837, 0.252, 0.838], [0.841, 0.661, 0.802], [0.842, 0.519, 0.706], [0.845, 0.869, 0.864], [0.861, 0.370, 0.366], [0.866, 0.018, 0.208], [0.869, 0.163, 0.302], [0.872, 0.751, 0.339], [0.889, 0.991, 0.498], [0.892, 0.258, 0.132], [0.895, 0.220, 0.540], [0.934, 0.302, 0.664], [0.965, 0.747, 0.489], [0.996, 0.923, 0.667]]
}


7.
{
  "formula": "CsSi2Mo3P6O25",
  "functional": "GGA+U",
  "state": "relaxed",
  "final_energy_ev_per_atom": -7.3587,
  "space_group": "P-31c (163)",
  "lattice_angstrom": [[8.395, 0.000, 0.000], [-4.197, 7.270, 0.000], [0.000, 0.000, 18.253]],
  "species": ["Cs", "Cs", "Si", "Si", "Si", "Si", "Mo", "Mo", "Mo", "Mo", "Mo", "Mo", "P", "P", "P", "P", "P", "P", "P", "P", "P", "P", "P", "P", "O", "O", "O", "O", "O", "O", "O", "O", "O", "O", "O", "O", "O", "O", "O", "O", "O", "O", "O", "O", "O", "O", "O", "O", "O", "O", "O", "O", "O", "O", "O", "O", "O", "O", "O", "O", "O", "O", "O", "O", "O", "O", "O", "O", "O", "O", "O", "O", "O", "O"],
  "fractional_positions": [[0.333, 0.667, 0.250], [0.667, 0.333, 0.750], [0.000, 0.000, 0.088], [0.000, 0.000, 0.412], [0.000, 0.000, 0.588], [0.000, 0.000, 0.912], [0.333, 0.667, 0.018], [0.333, 0.667, 0.482], [0.333, 0.667, 0.750], [0.667, 0.333, 0.250], [0.667, 0.333, 0.518], [0.667, 0.333, 0.982], [0.046, 0.378, 0.610], [0.046, 0.668, 0.890], [0.332, 0.378, 0.890], [0.332, 0.954, 0.610], [0.378, 0.046, 0.110], [0.378, 0.332, 0.390], [0.622, 0.668, 0.610], [0.622, 0.954, 0.890], [0.668, 0.046, 0.390], [0.668, 0.622, 0.110], [0.954, 0.332, 0.110], [0.954, 0.622, 0.390], [0.000, 0.000, 0.000], [0.000, 0.000, 0.500], [0.036, 0.198, 0.119], [0.036, 0.838, 0.381], [0.114, 0.521, 0.087], [0.114, 0.593, 0.413], [0.117, 0.461, 0.684], [0.117, 0.656, 0.816], [0.162, 0.198, 0.381], [0.162, 0.964, 0.119], [0.194, 0.442, 0.549], [0.194, 0.752, 0.951], [0.198, 0.036, 0.619], [0.198, 0.162, 0.881], [0.248, 0.442, 0.951], [0.248, 0.806, 0.549], [0.344, 0.461, 0.816], [0.344, 0.883, 0.684], [0.407, 0.521, 0.413], [0.407, 0.886, 0.087], [0.442, 0.194, 0.049], [0.442, 0.248, 0.451], [0.461, 0.117, 0.184], [0.461, 0.344, 0.316], [0.479, 0.593, 0.087], [0.479, 0.886, 0.413], [0.521, 0.114, 0.587], [0.521, 0.407, 0.913], [0.539, 0.656, 0.684], [0.539, 0.883, 0.816], [0.558, 0.752, 0.549], [0.558, 0.806, 0.951], [0.593, 0.114, 0.913], [0.593, 0.479, 0.587], [0.656, 0.117, 0.316], [0.656, 0.539, 0.184], [0.752, 0.194, 0.451], [0.752, 0.558, 0.049], [0.802, 0.838, 0.119], [0.802, 0.964, 0.381], [0.806, 0.248, 0.049], [0.806, 0.558, 0.451], [0.838, 0.036, 0.881], [0.838, 0.802, 0.619], [0.883, 0.344, 0.184], [0.883, 0.539, 0.316], [0.886, 0.407, 0.587], [0.886, 0.479, 0.913], [0.964, 0.162, 0.619], [0.964, 0.802, 0.881]]
}


8.
{
  "formula": "Cs2PaMo3O12",
  "functional": "GGA+U",
  "state": "relaxed",
  "final_energy_ev_per_atom": -7.1888,
  "space_group": "R-3m (166)",
  "lattice_angstrom": [[3.734, 2.156, 6.388], [-3.734, 2.156, 6.388], [0.000, -4.311, 6.388]],
  "species": ["Cs", "Cs", "Pa", "Mo", "Mo", "Mo", "O", "O", "O", "O", "O", "O", "O", "O", "O", "O", "O", "O"],
  "fractional_positions": [[0.117, 0.117, 0.117], [0.883, 0.883, 0.883], [0.500, 0.500, 0.500], [0.000, 0.500, 0.500], [0.500, 0.000, 0.500], [0.500, 0.500, 0.000], [0.161, 0.569, 0.569], [0.197, 0.197, 0.566], [0.197, 0.566, 0.197], [0.431, 0.431, 0.839], [0.431, 0.839, 0.431], [0.434, 0.803, 0.803], [0.566, 0.197, 0.197], [0.569, 0.161, 0.569], [0.569, 0.569, 0.161], [0.803, 0.434, 0.803], [0.803, 0.803, 0.434], [0.839, 0.431, 0.431]]
}


9.
{
  "formula": "CsMo2PdO8",
  "functional": "GGA+U",
  "state": "relaxed",
  "final_energy_ev_per_atom": -6.3544,
  "space_group": "P-3 (147)",
  "lattice_angstrom": [[5.510, 0.000, 0.000], [-2.755, 4.772, 0.000], [0.000, 0.000, 8.823]],
  "species": ["Cs", "Mo", "Mo", "Pd", "O", "O", "O", "O", "O", "O", "O", "O"],
  "fractional_positions": [[0.000, 0.000, 0.000], [0.333, 0.667, 0.698], [0.667, 0.333, 0.302], [0.000, 0.000, 0.500], [0.049, 0.326, 0.639], [0.277, 0.951, 0.639], [0.326, 0.277, 0.361], [0.333, 0.667, 0.897], [0.667, 0.333, 0.103], [0.674, 0.723, 0.639], [0.723, 0.049, 0.361], [0.951, 0.674, 0.361]]
}


Number 1: magnetic moment 8.000 Bohr magnetons per cell. Number 2: magnetic moment 13.000 Bohr magnetons per cell. Number 3: magnetic moment 2.889 Bohr magnetons per cell. Number 4: magnetic moment 1.000 Bohr magnetons per cell. Number 5: magnetic moment 4.000 Bohr magnetons per cell. Number 6: magnetic moment 4.000 Bohr magnetons per cell. Number 7: magnetic moment 14.000 Bohr magnetons per cell. Number 8: magnetic moment 1.000 Bohr magnetons per cell. Number 9: magnetic moment 1.018 Bohr magnetons per cell.